Material: SnPd3
Method: DFT, GGA-PBEsol
State: relaxed

energy of formation	-542	meV per atom

Cell lengths 3.970, 3.970, 3.970 Å; angles 90.00, 90.00, 90.00 degrees
Element x y z (fractional)
Sn 0.000 0.000 0.000
Pd 0.000 0.500 0.500
Pd 0.500 0.000 0.500
Pd 0.500 0.500 0.000